# 1
Entry from Alexandria via LeMat-Bulk: a geometry-optimized ZnNiAs2 structure (PBE-GGA).

a b c (Å): 4.4969 4.4969 4.4969
angles (deg): 60.00 60.00 60.00
Last column: nearest neighbours and their distance in Å.
Sites, in units of the cell vectors:
Zn 0.0000 0.0000 0.0000  4 As 2.75, 4 Ni 2.75
Ni 0.2500 0.2500 0.2500  4 As 2.75, 4 Zn 2.75
As 0.5000 0.5000 0.5000  4 As 2.75, 4 Ni 2.75
As 0.7500 0.7500 0.7500  4 As 2.75, 4 Zn 2.75

Output
Crystal system: cubic
Energy of formation from the pure elements: 317 meV/atom

---

# 2
Entry from Alexandria via LeMat-Bulk: a geometry-optimized ZnNiAs2 structure (PBE-GGA).

a b c (Å): 4.3863 4.3863 3.4148
angles (deg): 90.00 90.00 105.67
Last column: nearest neighbours and their distance in Å.
Sites, in units of the cell vectors:
Zn 0.0000 0.0000 0.0000  2 Ni 2.65, 8 As 2.78
Ni 0.5000 0.5000 0.0000  2 Zn 2.65, 8 As 2.78
As 0.0000 0.5000 0.5000  2 As 2.65, 4 Ni 2.78, 4 Zn 2.78
As 0.5000 0.0000 0.5000  2 As 2.65, 4 Ni 2.78, 4 Zn 2.78

Output
Crystal system: orthorhombic
Energy of formation from the pure elements: 160 meV/atom

---

# 3
Entry from Alexandria via LeMat-Bulk: a geometry-optimized ZnNiAs2 structure (PBE-GGA).

a b c (Å): 4.6593 4.6593 4.6593
angles (deg): 126.56 126.56 78.97
Last column: nearest neighbours and their distance in Å.
Sites, in units of the cell vectors:
Zn 0.0000 0.0000 0.0000  8 As 2.76, 4 Ni 2.96
Ni 0.5000 0.5000 0.0000  8 As 2.76, 4 Zn 2.96
As 0.2500 0.7500 0.5000  4 Ni 2.76, 4 Zn 2.76, 4 As 2.96
As 0.7500 0.2500 0.5000  4 Ni 2.76, 4 Zn 2.76, 4 As 2.96

Output
Crystal system: tetragonal
Energy of formation from the pure elements: 181 meV/atom

---

# 4
Entry from Alexandria via LeMat-Bulk: a geometry-optimized Zn2Ni5As structure (PBE-GGA).

a b c (Å): 7.4574 7.4574 7.4574
angles (deg): 151.40 151.40 40.89
Last column: nearest neighbours and their distance in Å.
Sites, in units of the cell vectors:
Zn 0.2463 0.2463 0.0000  8 Ni 2.53-2.60, 4 Zn 2.61
Zn 0.7537 0.7537 0.0000  8 Ni 2.53-2.60, 4 Zn 2.61
Ni 0.0000 0.0000 0.0000  8 Ni 2.51, 4 As 2.61
Ni 0.1221 0.6221 0.5000  2 As 2.51, 6 Ni 2.51-2.61, 4 Zn 2.53-2.60
Ni 0.3779 0.8779 0.5000  2 As 2.51, 6 Ni 2.51-2.61, 4 Zn 2.53-2.60
Ni 0.6221 0.1221 0.5000  2 As 2.51, 6 Ni 2.51-2.61, 4 Zn 2.53-2.60
Ni 0.8779 0.3779 0.5000  2 As 2.51, 6 Ni 2.51-2.61, 4 Zn 2.53-2.60
As 0.5000 0.5000 0.0000  12 Ni 2.51-2.61

Output
Crystal system: tetragonal
Energy of formation from the pure elements: -183 meV/atom

---

# 5
Entry from Alexandria via LeMat-Bulk: a geometry-optimized ZnNiAs2 structure (PBE-GGA).

a b c (Å): 6.8583 6.8583 6.8583
angles (deg): 133.55 133.55 67.80
Last column: nearest neighbours and their distance in Å.
Sites, in units of the cell vectors:
Zn 0.0000 0.0000 0.0000  4 As 2.51
Zn 0.7500 0.2500 0.5000  4 As 2.51
Ni 0.2500 0.7500 0.5000  4 As 2.27
Ni 0.5000 0.5000 0.0000  4 As 2.27
As 0.1635 0.6250 0.0385  2 Ni 2.27, 2 Zn 2.51
As 0.3750 0.4135 0.5385  2 Ni 2.27, 2 Zn 2.51
As 0.5865 0.1250 0.9615  2 Ni 2.27, 2 Zn 2.51
As 0.8750 0.8365 0.4615  2 Ni 2.27, 2 Zn 2.51

Output
Crystal system: tetragonal
Energy of formation from the pure elements: 43 meV/atom

---

# 6
Entry from Alexandria via LeMat-Bulk: a geometry-optimized Zn2NiAs2 structure (PBE-GGA).

a b c (Å): 6.2193 6.2193 4.4352
angles (deg): 90.00 90.00 90.00
Last column: nearest neighbours and their distance in Å.
Sites, in units of the cell vectors:
Zn 0.1775 0.3225 0.0000  2 As 2.69
Zn 0.3225 0.8225 0.0000  2 As 2.69
Zn 0.6775 0.1775 0.0000  2 As 2.69
Zn 0.8225 0.6775 0.0000  2 As 2.69
Ni 0.0000 0.0000 0.5000  4 As 2.37
Ni 0.5000 0.5000 0.5000  4 As 2.37
As 0.1502 0.6502 0.5000  2 Ni 2.37, 1 As 2.64
As 0.3498 0.1502 0.5000  2 Ni 2.37, 1 As 2.64
As 0.6502 0.8498 0.5000  2 Ni 2.37, 1 As 2.64
As 0.8498 0.3498 0.5000  2 Ni 2.37, 1 As 2.64

Output
Crystal system: tetragonal
Energy of formation from the pure elements: 95 meV/atom

---

# 7
Entry from Alexandria via LeMat-Bulk: a geometry-optimized Zn2Ni2As structure (PBE-GGA).

a b c (Å): 6.1068 6.1068 3.7269
angles (deg): 90.00 90.00 90.00
Last column: nearest neighbours and their distance in Å.
Sites, in units of the cell vectors:
Zn 0.1497 0.3503 0.0000  6 Ni 2.54-2.62, 1 Zn 2.59
Zn 0.3503 0.8503 0.0000  6 Ni 2.54-2.62, 1 Zn 2.59
Zn 0.6497 0.1497 0.0000  6 Ni 2.54-2.62, 1 Zn 2.59
Zn 0.8503 0.6497 0.0000  6 Ni 2.54-2.62, 1 Zn 2.59
Ni 0.1511 0.6511 0.5000  2 As 2.32, 2 Zn 2.54
Ni 0.3489 0.1511 0.5000  2 As 2.32, 2 Zn 2.54
Ni 0.6511 0.8489 0.5000  2 As 2.32, 2 Zn 2.54
Ni 0.8489 0.3489 0.5000  2 As 2.32, 2 Zn 2.54
As 0.0000 0.0000 0.5000  4 Ni 2.32
As 0.5000 0.5000 0.5000  4 Ni 2.32

Output
Crystal system: tetragonal
Energy of formation from the pure elements: -120 meV/atom

---

# 8
Entry from Alexandria via LeMat-Bulk: a geometry-optimized Zn2Ni2As structure (PBE-GGA).

a b c (Å): 7.1615 7.1615 2.6957
angles (deg): 90.00 90.00 90.00
Last column: nearest neighbours and their distance in Å.
Sites, in units of the cell vectors:
Zn 0.1283 0.3717 0.0000  6 Ni 2.47-2.52, 3 Zn 2.60-2.70
Zn 0.3717 0.8717 0.0000  6 Ni 2.47-2.52, 3 Zn 2.60-2.70
Zn 0.6283 0.1283 0.0000  6 Ni 2.47-2.52, 3 Zn 2.60-2.70
Zn 0.8717 0.6283 0.0000  6 Ni 2.47-2.52, 3 Zn 2.60-2.70
Ni 0.1672 0.6672 0.5000  6 Zn 2.47-2.52, 2 Ni 2.70
Ni 0.3328 0.1672 0.5000  6 Zn 2.47-2.52, 2 Ni 2.70
Ni 0.6672 0.8328 0.5000  6 Zn 2.47-2.52, 2 Ni 2.70
Ni 0.8328 0.3328 0.5000  6 Zn 2.47-2.52, 2 Ni 2.70
As 0.0000 0.0000 0.0000  2 As 2.70, 4 Zn 2.82, 8 Ni 2.99
As 0.5000 0.5000 0.0000  2 As 2.70, 4 Zn 2.82, 8 Ni 2.99

Output
Crystal system: tetragonal
Energy of formation from the pure elements: 13 meV/atom

---

# 9
Entry from Alexandria via LeMat-Bulk: a geometry-optimized Zn2Ni8As structure (PBE-GGA).

a b c (Å): 6.9841 6.9841 6.9841
angles (deg): 145.84 135.82 57.01
Last column: nearest neighbours and their distance in Å.
Sites, in units of the cell vectors:
Zn 0.1821 0.1821 0.0000  12 Ni 2.44-2.68
Zn 0.8179 0.8179 0.0000  12 Ni 2.44-2.68
Ni 0.0922 0.3529 0.7393  1 As 2.27, 3 Zn 2.44-2.50, 4 Ni 2.49-2.51
Ni 0.2420 0.0000 0.2420  2 As 2.46, 8 Ni 2.54-2.73, 2 Zn 2.57
Ni 0.3224 0.8224 0.5000  8 Ni 2.49-2.57, 4 Zn 2.63-2.68
Ni 0.3864 0.6471 0.7393  1 As 2.27, 3 Zn 2.44-2.50, 4 Ni 2.49-2.51
Ni 0.6136 0.3529 0.2607  1 As 2.27, 3 Zn 2.44-2.50, 4 Ni 2.49-2.51
Ni 0.6776 0.1776 0.5000  8 Ni 2.49-2.57, 4 Zn 2.63-2.68
Ni 0.7580 0.0000 0.7580  2 As 2.46, 8 Ni 2.54-2.73, 2 Zn 2.57
Ni 0.9078 0.6471 0.2607  1 As 2.27, 3 Zn 2.44-2.50, 4 Ni 2.49-2.51
As 0.5000 0.5000 0.0000  8 Ni 2.27-2.46

Output
Crystal system: orthorhombic
Energy of formation from the pure elements: -100 meV/atom

---

# 10
Entry from Alexandria via LeMat-Bulk: a geometry-optimized ZnNiAs2 structure (PBE-GGA).

a b c (Å): 5.0478 5.0478 5.0478
angles (deg): 135.02 135.02 65.50
Last column: nearest neighbours and their distance in Å.
Sites, in units of the cell vectors:
Zn 0.0000 0.0000 0.0000  8 As 2.73-2.87, 4 Ni 2.87
Ni 0.7500 0.2500 0.5000  8 As 2.73-2.87, 4 Zn 2.87
As 0.2500 0.7500 0.5000  4 Ni 2.73, 4 As 2.87, 4 Zn 2.87
As 0.5000 0.5000 0.0000  4 Zn 2.73, 4 As 2.87, 4 Ni 2.87

Output
Crystal system: tetragonal
Energy of formation from the pure elements: 210 meV/atom

---

# 11
Entry from Alexandria via LeMat-Bulk: a geometry-optimized ZnNi4As2 structure (PBE-GGA).

a b c (Å): 13.8781 3.9686 6.7441
angles (deg): 90.00 90.00 90.00
Last column: nearest neighbours and their distance in Å.
Sites, in units of the cell vectors:
Zn 0.1437 0.2500 0.0403  7 Ni 2.51-2.69
Zn 0.3563 0.7500 0.5403  7 Ni 2.51-2.69
Zn 0.6437 0.2500 0.4597  7 Ni 2.51-2.69
Zn 0.8563 0.7500 0.9597  7 Ni 2.51-2.69
Ni 0.0352 0.7500 0.9013  3 As 2.37-2.43, 1 Zn 2.51, 3 Ni 2.58-2.63
Ni 0.0587 0.2500 0.4420  4 As 2.39-2.41, 3 Ni 2.59-2.66
Ni 0.1791 0.7500 0.4390  4 As 2.40-2.60, 5 Ni 2.55-2.65, 1 Zn 2.55
Ni 0.2205 0.7500 0.8223  3 As 2.36-2.37, 3 Ni 2.55-2.63
Ni 0.2795 0.2500 0.3223  3 As 2.36-2.37, 3 Ni 2.55-2.63
Ni 0.3209 0.2500 0.9390  4 As 2.40-2.60, 5 Ni 2.55-2.65, 1 Zn 2.55
Ni 0.4413 0.7500 0.9420  4 As 2.39-2.41, 3 Ni 2.59-2.66
Ni 0.4648 0.2500 0.4013  3 As 2.37-2.43, 1 Zn 2.51, 3 Ni 2.58-2.63
Ni 0.5352 0.7500 0.5987  3 As 2.37-2.43, 1 Zn 2.51, 3 Ni 2.58-2.63
Ni 0.5587 0.2500 0.0580  4 As 2.39-2.41, 3 Ni 2.59-2.66
Ni 0.6791 0.7500 0.0610  4 As 2.40-2.60, 5 Ni 2.55-2.65, 1 Zn 2.55
Ni 0.7205 0.7500 0.6777  3 As 2.36-2.37, 3 Ni 2.55-2.63
Ni 0.7795 0.2500 0.1777  3 As 2.36-2.37, 3 Ni 2.55-2.63
Ni 0.8209 0.2500 0.5610  4 As 2.40-2.60, 5 Ni 2.55-2.65, 1 Zn 2.55
Ni 0.9413 0.7500 0.5580  4 As 2.39-2.41, 3 Ni 2.59-2.66
Ni 0.9648 0.2500 0.0987  3 As 2.37-2.43, 1 Zn 2.51, 3 Ni 2.58-2.63
As 0.0320 0.7500 0.2528  7 Ni 2.37-2.43
As 0.2042 0.2500 0.6368  7 Ni 2.36-2.60
As 0.2958 0.7500 0.1368  7 Ni 2.36-2.60
As 0.4680 0.2500 0.7528  7 Ni 2.37-2.43
As 0.5320 0.7500 0.2472  7 Ni 2.37-2.43
As 0.7042 0.2500 0.8632  7 Ni 2.36-2.60
As 0.7958 0.7500 0.3632  7 Ni 2.36-2.60
As 0.9680 0.2500 0.7472  7 Ni 2.37-2.43

Output
Crystal system: orthorhombic
Energy of formation from the pure elements: -175 meV/atom

---

# 12
Entry from Alexandria via LeMat-Bulk: a geometry-optimized Zn3NiAs structure (PBE-GGA).

a b c (Å): 4.5289 4.5289 4.5289
angles (deg): 90.00 90.00 90.00
Last column: nearest neighbours and their distance in Å.
Sites, in units of the cell vectors:
Zn 0.0000 0.0000 0.5000  2 Ni 2.26
Zn 0.0000 0.5000 0.0000  2 Ni 2.26
Zn 0.5000 0.0000 0.0000  2 Ni 2.26
Ni 0.0000 0.0000 0.0000  6 Zn 2.26
As 0.5000 0.5000 0.5000  12 Zn 3.20

Output
Crystal system: cubic
Energy of formation from the pure elements: 357 meV/atom

---

| no. | total energy (eV per atom) |
| --- | --- |
| 1 | -3.771 |
| 2 | -3.929 |
| 3 | -3.907 |
| 4 | -4.696 |
| 5 | -4.045 |
| 6 | -3.431 |
| 7 | -3.872 |
| 8 | -3.739 |
| 9 | -4.959 |
| 10 | -3.879 |
| 11 | -4.990 |
| 12 | -2.493 |